# LaY3Co8, relaxed, DFT PBE
# * total moment: 7.409 μB per cell
# * total DFT energy (no corrections): -6.90 eV/atom
data_LaY3Co8
_chemical_formula_sum 'La1 Y3 Co8'
_cell_length_a 5.108
_cell_length_b 5.108
_cell_length_c 8.872
_cell_angle_alpha 73.28
_cell_angle_beta 73.28
_cell_angle_gamma 60.01
_space_group_name_H-M_alt 'P 1'
_space_group_IT_number 1
loop_
_space_group_symop_operation_xyz
'x,y,z'
loop_
_atom_site_label
_atom_site_type_symbol
_atom_site_fract_x
_atom_site_fract_y
_atom_site_fract_z
La1 La 0.875 0.875 0.376
Y1 Y 0.375 0.375 0.874
Y2 Y 0.000 0.000 0.001
Y3 Y 0.500 0.500 0.500
Co1 Co 0.942 0.438 0.182
Co2 Co 0.431 0.938 0.693
Co3 Co 0.438 0.438 0.182
Co4 Co 0.938 0.938 0.693
Co5 Co 0.187 0.187 0.439
Co6 Co 0.688 0.688 0.936
Co7 Co 0.438 0.942 0.182
Co8 Co 0.938 0.431 0.693